Record 1
# Ba2MgS2Cl2 GGA-PBE optimized geometry
# raw total energy: -4.523 eV/atom
# size of the total moment: 0.00 μB per formula unit
data_Ba2MgS2Cl2
_symmetry_space_group_name_H-M 'P 1'
_symmetry_Int_Tables_number 1
_cell_length_a 8.780
_cell_length_b 8.780
_cell_length_c 8.780
_cell_angle_alpha 147.00
_cell_angle_beta 147.00
_cell_angle_gamma 47.36
loop_
_symmetry_equiv_pos_as_xyz
'x,y,z'
loop_
_atom_site_label
_atom_site_type_symbol
_atom_site_fract_x
_atom_site_fract_y
_atom_site_fract_z
_atom_site_occupancy
Ba1 Ba 0.124 0.124 0.000 1
Ba2 Ba 0.876 0.876 0.000 1
Mg1 Mg 0.500 0.500 0.000 1
S1 S 0.000 0.500 0.500 1
S2 S 0.500 0.000 0.500 1
Cl1 Cl 0.321 0.321 0.000 1
Cl2 Cl 0.679 0.679 0.000 1



Record 2
# BaSrMgCl6 GGA-PBE optimized geometry
# raw total energy: -4.068 eV/atom
# size of the total moment: 0.00 μB per formula unit
data_BaSrMgCl6
_symmetry_space_group_name_H-M 'P 1'
_symmetry_Int_Tables_number 1
_cell_length_a 7.106
_cell_length_b 7.106
_cell_length_c 13.051
_cell_angle_alpha 90.00
_cell_angle_beta 90.00
_cell_angle_gamma 120.00
loop_
_symmetry_equiv_pos_as_xyz
'x,y,z'
loop_
_atom_site_label
_atom_site_type_symbol
_atom_site_fract_x
_atom_site_fract_y
_atom_site_fract_z
_atom_site_occupancy
Ba1 Ba 0.000 0.000 0.000 1
Ba2 Ba 0.000 0.000 0.500 1
Sr1 Sr 0.333 0.667 0.250 1
Sr2 Sr 0.667 0.333 0.750 1
Mg1 Mg 0.333 0.667 0.750 1
Mg2 Mg 0.667 0.333 0.250 1
Cl1 Cl 0.038 0.378 0.637 1
Cl2 Cl 0.038 0.660 0.863 1
Cl3 Cl 0.340 0.378 0.863 1
Cl4 Cl 0.340 0.962 0.637 1
Cl5 Cl 0.378 0.038 0.137 1
Cl6 Cl 0.378 0.340 0.363 1
Cl7 Cl 0.622 0.660 0.637 1
Cl8 Cl 0.622 0.962 0.863 1
Cl9 Cl 0.660 0.038 0.363 1
Cl10 Cl 0.660 0.622 0.137 1
Cl11 Cl 0.962 0.340 0.137 1
Cl12 Cl 0.962 0.622 0.363 1



Record 3
# BaSr2MgCl GGA-PBE optimized geometry
# raw total energy: -2.309 eV/atom
# size of the total moment: 0.00 μB per formula unit
data_BaSr2MgCl
_symmetry_space_group_name_H-M 'P 1'
_symmetry_Int_Tables_number 1
_cell_length_a 5.850
_cell_length_b 5.850
_cell_length_c 6.179
_cell_angle_alpha 90.00
_cell_angle_beta 90.00
_cell_angle_gamma 90.00
loop_
_symmetry_equiv_pos_as_xyz
'x,y,z'
loop_
_atom_site_label
_atom_site_type_symbol
_atom_site_fract_x
_atom_site_fract_y
_atom_site_fract_z
_atom_site_occupancy
Ba1 Ba 0.000 0.000 0.000 1
Sr1 Sr 0.000 0.500 0.500 1
Sr2 Sr 0.500 0.000 0.500 1
Mg1 Mg 0.500 0.500 0.000 1
Cl1 Cl 0.000 0.000 0.500 1



Record 4
# BaMgTeCl2 GGA-PBE optimized geometry
# raw total energy: -3.509 eV/atom
# size of the total moment: 0.00 μB per formula unit
data_BaMgTeCl2
_symmetry_space_group_name_H-M 'P 1'
_symmetry_Int_Tables_number 1
_cell_length_a 4.810
_cell_length_b 4.810
_cell_length_c 13.539
_cell_angle_alpha 90.00
_cell_angle_beta 90.00
_cell_angle_gamma 90.00
loop_
_symmetry_equiv_pos_as_xyz
'x,y,z'
loop_
_atom_site_label
_atom_site_type_symbol
_atom_site_fract_x
_atom_site_fract_y
_atom_site_fract_z
_atom_site_occupancy
Ba1 Ba 0.000 0.000 0.000 1
Mg1 Mg 0.000 0.000 0.500 1
Te1 Te 0.500 0.500 0.000 1
Cl1 Cl 0.000 0.500 0.500 1
Cl2 Cl 0.500 0.000 0.500 1



Number 1: DOS(E_F) 0.00 states/eV/f.u.. Number 2: DOS(E_F) 0.00 states/eV/f.u.. Number 3: DOS(E_F) 6.64 states/eV/f.u.. Number 4: DOS(E_F) 0.00 states/eV/f.u..